A plane-wave DFT calculation with PBE was carried out for a relaxed TiCdPd6 crystal.

Structure (CIF):
```
data_TiCdPd6
_symmetry_space_group_name_H-M 'P 1'
_symmetry_Int_Tables_number 1
_symmetry_space_group_name_Hall 'P 1'
_cell_length_a 3.969
_cell_length_b 3.969
_cell_length_c 7.993
_cell_angle_alpha 90.00
_cell_angle_beta 90.00
_cell_angle_gamma 90.00
loop_
_atom_site_label
_atom_site_fract_x
_atom_site_fract_y
_atom_site_fract_z
Ti1 0.000 0.000 0.000
Cd1 0.000 0.000 0.500
Pd1 0.000 0.500 0.237
Pd2 0.000 0.500 0.763
Pd3 0.500 0.000 0.237
Pd4 0.500 0.000 0.763
Pd5 0.500 0.500 0.000
Pd6 0.500 0.500 0.500
```

final energy	-5.47	eV per atom
polymorph energy (0 for the lowest one)	0	meV per atom
energy of formation	-0.4745	eV/atom

---

A plane-wave DFT calculation with PBE was carried out for a relaxed LaNiW2 crystal.

Structure (CIF):
```
data_LaNiW2
_symmetry_space_group_name_H-M 'P 1'
_symmetry_Int_Tables_number 1
_symmetry_space_group_name_Hall 'P 1'
_cell_length_a 6.278
_cell_length_b 6.278
_cell_length_c 4.726
_cell_angle_alpha 111.66
_cell_angle_beta 111.66
_cell_angle_gamma 25.39
loop_
_atom_site_label
_atom_site_fract_x
_atom_site_fract_y
_atom_site_fract_z
La1 0.000 0.000 0.000
Ni1 0.500 0.500 0.500
W1 0.206 0.206 0.707
W2 0.794 0.794 0.293
```

final energy	-8.70	eV per atom
polymorph energy (0 for the lowest one)	148	meV per atom
energy of formation	0.4546	eV/atom

---

A plane-wave DFT calculation with PBE was carried out for a relaxed LaY3As crystal.

Structure (CIF):
```
data_LaY3As
_symmetry_space_group_name_H-M 'P 1'
_symmetry_Int_Tables_number 1
_symmetry_space_group_name_Hall 'P 1'
_cell_length_a 5.534
_cell_length_b 5.534
_cell_length_c 5.534
_cell_angle_alpha 90.00
_cell_angle_beta 90.00
_cell_angle_gamma 90.00
loop_
_atom_site_label
_atom_site_fract_x
_atom_site_fract_y
_atom_site_fract_z
La1 0.000 0.000 0.000
Y1 0.000 0.000 0.500
Y2 0.000 0.500 0.000
Y3 0.500 0.000 0.000
As1 0.500 0.500 0.500
```

final energy	-4.91	eV per atom
polymorph energy (0 for the lowest one)	1232	meV per atom
energy of formation	0.8800	eV/atom

---

Copy entry 3 word for word.
A plane-wave DFT calculation with PBE was carried out for a relaxed LaY3As crystal.

Structure (CIF):
```
data_LaY3As
_symmetry_space_group_name_H-M 'P 1'
_symmetry_Int_Tables_number 1
_symmetry_space_group_name_Hall 'P 1'
_cell_length_a 5.534
_cell_length_b 5.534
_cell_length_c 5.534
_cell_angle_alpha 90.00
_cell_angle_beta 90.00
_cell_angle_gamma 90.00
loop_
_atom_site_label
_atom_site_fract_x
_atom_site_fract_y
_atom_site_fract_z
La1 0.000 0.000 0.000
Y1 0.000 0.000 0.500
Y2 0.000 0.500 0.000
Y3 0.500 0.000 0.000
As1 0.500 0.500 0.500
```

final energy	-4.91	eV per atom
polymorph energy (0 for the lowest one)	1232	meV per atom
energy of formation	0.8800	eV/atom

---

Repeat the first record exactly.
A plane-wave DFT calculation with PBE was carried out for a relaxed TiCdPd6 crystal.

Structure (CIF):
```
data_TiCdPd6
_symmetry_space_group_name_H-M 'P 1'
_symmetry_Int_Tables_number 1
_symmetry_space_group_name_Hall 'P 1'
_cell_length_a 3.969
_cell_length_b 3.969
_cell_length_c 7.993
_cell_angle_alpha 90.00
_cell_angle_beta 90.00
_cell_angle_gamma 90.00
loop_
_atom_site_label
_atom_site_fract_x
_atom_site_fract_y
_atom_site_fract_z
Ti1 0.000 0.000 0.000
Cd1 0.000 0.000 0.500
Pd1 0.000 0.500 0.237
Pd2 0.000 0.500 0.763
Pd3 0.500 0.000 0.237
Pd4 0.500 0.000 0.763
Pd5 0.500 0.500 0.000
Pd6 0.500 0.500 0.500
```

final energy	-5.47	eV per atom
polymorph energy (0 for the lowest one)	0	meV per atom
energy of formation	-0.4745	eV/atom